PBE with a Hubbard U TaMoO2, relaxed; electronic total energy = -65.0 eV per cell; magnetization = 0.1394 μB per atom; D(E_F) = 0.514 states/eV per atom; offset from the most stable computed form = 142 meV/atom; symmetry = I-42d
1.0
-2.509 2.730 1.470
-2.243 -2.904 1.564
1.051 0.165 6.898
O Ta Mo
4 2 2
direct
0.375 0.364 0.750 O
0.875 0.886 0.750 O
0.636 0.125 0.250 O
0.114 0.625 0.250 O
0.750 0.250 0.500 Ta
0.000 0.000 0.000 Ta
0.250 0.750 0.500 Mo
0.500 0.500 0.000 Mo